1.
Material: Th7Sb2Pb2
Method: DFT, GGA-PBE
State: relaxed

Values from the calculation:
M_tot (μB per cell): 0.0
ΔE_f (raw) (meV per atom): -14
ρ (Mg/m³): 9.95

Cell lengths 7.3704, 7.1628, 7.3704 Å; angles 90.00, 101.82, 90.00 degrees
Atoms (fractional coordinates):
Sb 0.2751 0.0000 0.7249
Th 0.4998 0.2601 0.5002
Pb 0.1740 0.5000 0.1740
Th 0.4997 0.2762 0.0002
Th 0.0000 0.0000 0.0000
Pb 0.8260 0.5000 0.8260
Th 0.5002 0.7399 0.4998
Sb 0.7249 0.0000 0.2751
Th 0.9998 0.2762 0.5003
Th 0.5003 0.7238 0.9998
Th 0.0002 0.7238 0.4997

=====

2.
Material: Be2CdRh2
Method: DFT, GGA-PBE
State: relaxed

Values from the calculation:
M_tot (μB per cell): 0.0
Energy of formation from the pure elements (eV/atom): -0.17
Energy above the lowest structure with this stoichiometry (eV/atom): 0.262
ρ (Mg/m³): 8.34

Cell lengths 3.0711, 3.0711, 7.4215 Å; angles 78.06, 78.06, 90.00 degrees
Atoms (fractional coordinates):
Rh 0.6305 0.6305 0.7390
Be 0.2500 0.7500 0.5000
Be 0.7500 0.2500 0.5000
Rh 0.3695 0.3695 0.2610
Cd 0.0000 0.0000 0.0000

=====

3.
Material: LaScAlPd
Method: DFT, GGA-PBE
State: relaxed

Values from the calculation:
M_tot (μB per cell): 0.0
Energy of formation from the pure elements (eV/atom): -0.48
ρ (Mg/m³): 5.75

Cell lengths 5.0590, 5.0590, 5.0590 Å; angles 60.00, 60.00, 60.00 degrees
Atoms (fractional coordinates):
Pd 0.2500 0.2500 0.2500
La 0.5000 0.5000 0.5000
Al 0.7500 0.7500 0.7500
Sc 0.0000 0.0000 0.0000